# YNp2P3 | Alexandria via LeMat-Bulk | GGA-PBE | optimized geometry
data_YNp2P3
_cell_length_a 7.9462
_cell_length_b 11.2380
_cell_length_c 23.8367
_cell_angle_alpha 90.00
_cell_angle_beta 90.00
_cell_angle_gamma 90.00
_space_group_name_H-M_alt 'F d d d'
_space_group_IT_number 70
loop_
_space_group_symop_operation_xyz
'x,y,z'
'-x,-y,-z'
'-x+1/4,-y+1/4,z'
'x+1/4,y+1/4,-z'
'x,-y+1/4,-z+1/4'
'-x,y+1/4,z+1/4'
'-x+1/4,y,-z+1/4'
'x+1/4,-y,z+1/4'
'x,y+1/2,z+1/2'
'-x,-y+1/2,-z+1/2'
'-x+1/4,-y+3/4,z+1/2'
'x+1/4,y+3/4,-z+1/2'
'x,-y+3/4,-z+3/4'
'-x,y+3/4,z+3/4'
'-x+1/4,y+1/2,-z+3/4'
'x+1/4,-y+1/2,z+3/4'
'x+1/2,y,z+1/2'
'-x+1/2,-y,-z+1/2'
'-x+3/4,-y+1/4,z+1/2'
'x+3/4,y+1/4,-z+1/2'
'x+1/2,-y+1/4,-z+3/4'
'-x+1/2,y+1/4,z+3/4'
'-x+3/4,y,-z+3/4'
'x+3/4,-y,z+3/4'
'x+1/2,y+1/2,z'
'-x+1/2,-y+1/2,-z'
'-x+3/4,-y+3/4,z'
'x+3/4,y+3/4,-z'
'x+1/2,-y+3/4,-z+1/4'
'-x+1/2,y+3/4,z+1/4'
'-x+3/4,y+1/2,-z+1/4'
'x+3/4,-y+1/2,z+1/4'
loop_
_atom_site_label
_atom_site_type_symbol
_atom_site_fract_x
_atom_site_fract_y
_atom_site_fract_z
Y1 Y 0.1250 0.1250 0.0418
Np1 Np 0.1250 0.1250 0.3743
Np2 Np 0.1250 0.1250 0.5409
P1 P 0.1196 0.3750 0.8750
P2 P 0.1226 0.3726 0.7073
# Energy relative to the elements in eV per atom: -1.121
# Density in Mg/m³: 8.19
# Fermi-level density of states in states/eV/f.u.: 16.2

***

# MnS6Cl | Alexandria via LeMat-Bulk | GGA-PBE | optimized geometry
data_MnS6Cl
_cell_length_a 8.2913
_cell_length_b 11.9046
_cell_length_c 4.9961
_cell_angle_alpha 90.00
_cell_angle_beta 125.08
_cell_angle_gamma 90.00
_space_group_name_H-M_alt 'C 1 2/m 1'
_space_group_IT_number 12
loop_
_space_group_symop_operation_xyz
'x,y,z'
'-x,-y,-z'
'-x,y,-z'
'x,-y,z'
'x+1/2,y+1/2,z'
'-x+1/2,-y+1/2,-z'
'-x+1/2,y+1/2,-z'
'x+1/2,-y+1/2,z'
loop_
_atom_site_label
_atom_site_type_symbol
_atom_site_fract_x
_atom_site_fract_y
_atom_site_fract_z
Mn1 Mn 0.0000 0.0000 0.0000
S1 S 0.0897 0.5000 0.7358
S2 S 0.1459 0.1814 0.1508
Cl1 Cl 0.0000 0.0000 0.5000
# ΔE_f (raw) in kJ/mol of formula units: 11
# Density in Mg/m³: 2.33
# Fermi-level density of states in states/eV/f.u.: 4.3

***

# BaAs2W | Alexandria via LeMat-Bulk | GGA-PBE | optimized geometry
data_BaAs2W
_cell_length_a 3.6095
_cell_length_b 3.6095
_cell_length_c 8.0761
_cell_angle_alpha 90.00
_cell_angle_beta 90.00
_cell_angle_gamma 90.00
_space_group_name_H-M_alt 'P 4 m m'
_space_group_IT_number 99
loop_
_space_group_symop_operation_xyz
'x,y,z'
'-y,x,z'
'-x,-y,z'
'y,-x,z'
'-x,y,z'
'y,x,z'
'x,-y,z'
'-y,-x,z'
loop_
_atom_site_label
_atom_site_type_symbol
_atom_site_fract_x
_atom_site_fract_y
_atom_site_fract_z
Ba1 Ba 0.0000 0.0000 0.0000
As1 As 0.0000 0.0000 0.3995
As2 As 0.5000 0.5000 0.7545
W1 W 0.5000 0.5000 0.4620
# Offset from the most stable computed form in meV per atom: 382.7
# Energy relative to the elements in eV per atom: 0.143
# Density in Mg/m³: 7.43
# Fermi-level density of states in states/eV/f.u.: 3.8

***

# InCo2As | Alexandria via LeMat-Bulk | GGA-PBE | optimized geometry
data_InCo2As
_cell_length_a 4.3043
_cell_length_b 4.3043
_cell_length_c 3.1160
_cell_angle_alpha 90.00
_cell_angle_beta 90.00
_cell_angle_gamma 90.00
_space_group_name_H-M_alt 'P 4/m m m'
_space_group_IT_number 123
_space_group_name_Hall '-P 4 2'
loop_
_atom_site_label
_atom_site_type_symbol
_atom_site_fract_x
_atom_site_fract_y
_atom_site_fract_z
In1 In 0.0000 0.0000 0.0000
Co1 Co 0.0000 0.5000 0.5000
As1 As 0.5000 0.5000 0.0000
# Offset from the most stable computed form in meV per atom: 156.0
# Energy relative to the elements in eV per atom: 0.184
# Density in Mg/m³: 8.85
# Fermi-level density of states in states/eV/f.u.: 2.0

***

Number 1: M_tot 118.39 μB/cell. Number 2: M_tot 6.20 μB/cell. Number 3: M_tot 0.00 μB/cell. Number 4: M_tot 1.77 μB/cell.